Entry 1:
Computed, not measured: Pr3CoCl2 after structural relaxation at the PBE level of DFT.

Values from the calculation:
Magnetic moment in μB/cell: 0.433
Mass density in g/cm3: 5.77
Symmetry: Immm
Crystal system: orthorhombic
Energy relative to the elements, uncorrected in eV per atom: -1.031

Lattice parameters (Å, degrees): 7.7683 7.7683 7.7683 151.24 134.80 54.46
Closest atoms and distances in Å follow each position.
Fractional positions:
Pr1 0.0000 0.0000 0.0000  2 Co 2.99, 4 Cl 3.09
Pr2 0.3671 0.3671 0.0000  2 Co 2.66
Pr3 0.6329 0.6329 0.0000  2 Co 2.66
Co1 0.5000 0.0000 0.5000  4 Pr 2.66
Cl1 0.1745 0.6745 0.5000  6 Pr 3.04-3.29
Cl2 0.8255 0.3255 0.5000  6 Pr 3.04-3.29

---

Entry 2:
Computed, not measured: Pr5CoCl5 after structural relaxation at the PBE level of DFT.

Values from the calculation:
Magnetic moment in μB/cell: 0.000
Mass density in g/cm3: 5.26
Symmetry: C2/m
Crystal system: monoclinic
Energy relative to the elements, uncorrected in eV per atom: -1.383

Lattice parameters (Å, degrees): 6.9859 6.9859 8.5552 107.94 107.94 49.13
Closest atoms and distances in Å follow each position.
Fractional positions:
Pr1 0.0000 0.0000 0.0000  2 Co 2.90, 4 Cl 2.98-3.09
Pr2 0.3298 0.3298 0.1413  1 Co 2.81, 4 Cl 2.95-3.10
Pr3 0.3525 0.3525 0.7068  1 Co 2.57
Pr4 0.6475 0.6475 0.2932  1 Co 2.57
Pr5 0.6702 0.6702 0.8587  1 Co 2.81, 4 Cl 2.95-3.10
Co1 0.5000 0.5000 0.0000  4 Pr 2.57-2.81
Cl1 0.1490 0.1490 0.7954  5 Pr 2.93-3.07
Cl2 0.1688 0.1688 0.3577  5 Pr 2.95-3.19
Cl3 0.5000 0.5000 0.5000  4 Pr 2.98-3.10
Cl4 0.8312 0.8312 0.6423  5 Pr 2.95-3.19
Cl5 0.8510 0.8510 0.2046  5 Pr 2.93-3.07

---

Entry 3:
Computed, not measured: Pr2CoCl after structural relaxation at the PBE level of DFT.

Values from the calculation:
Magnetic moment in μB/cell: 0.000
Mass density in g/cm3: 5.93
Symmetry: R3m
Excess energy over the best structure of this formula in the dataset in meV per atom: 19
Crystal system: trigonal
Energy relative to the elements, uncorrected in eV per atom: -0.796

Lattice parameters (Å, degrees): 8.0560 8.0560 8.0560 28.52 28.52 28.52
Closest atoms and distances in Å follow each position.
Fractional positions:
Pr1 0.0000 0.0000 0.0000  3 Co 2.76
Pr2 0.2003 0.2003 0.2003  3 Co 2.76
Co1 0.6001 0.6001 0.6001  6 Pr 2.76
Cl1 0.7693 0.7693 0.7693  6 Pr 3.22-3.30

---

Entry 4:
Computed, not measured: Pr2CoCl after structural relaxation at the PBE level of DFT.

Values from the calculation:
Magnetic moment in μB/cell: 0.989
Mass density in g/cm3: 6.26
Symmetry: R-3m
Excess energy over the best structure of this formula in the dataset in meV per atom: 686
Crystal system: trigonal
Energy relative to the elements, uncorrected in eV per atom: -0.129

Lattice parameters (Å, degrees): 10.0002 10.0002 10.0002 19.73 19.73 19.73
Closest atoms and distances in Å follow each position.
Fractional positions:
Pr1 0.0863 0.0863 0.0863  1 Co 2.54
Pr2 0.9137 0.9137 0.9137  1 Co 2.54
Co1 0.0000 0.0000 0.0000  2 Pr 2.54
Cl1 0.5000 0.5000 0.5000  6 Pr 3.08, 6 Cl 3.43

---

Entry 5:
Computed, not measured: Pr3CoCl3 after structural relaxation at the PBE level of DFT.

Values from the calculation:
Magnetic moment in μB/cell: 0.000
Mass density in g/cm3: 4.87
Symmetry: I4_132
Crystal system: cubic
Energy relative to the elements, uncorrected in eV per atom: -1.385

Lattice parameters (Å, degrees): 10.1375 10.1375 10.1375 109.47 109.47 109.47
Closest atoms and distances in Å follow each position.
Fractional positions:
Pr1 0.0136 0.0273 0.2636  2 Co 2.77, 4 Cl 2.96-3.09
Pr2 0.0136 0.4864 0.7500  2 Co 2.77, 4 Cl 2.96-3.09
Pr3 0.0273 0.2636 0.0136  2 Co 2.77, 4 Cl 2.96-3.09
Pr4 0.2364 0.2636 0.7500  2 Co 2.77, 4 Cl 2.96-3.09
Pr5 0.2364 0.4727 0.4864  2 Co 2.77, 4 Cl 2.96-3.09
Pr6 0.2636 0.0136 0.0273  2 Co 2.77, 4 Cl 2.96-3.09
Pr7 0.2636 0.7500 0.2364  2 Co 2.77, 4 Cl 2.96-3.09
Pr8 0.4727 0.4864 0.2364  2 Co 2.77, 4 Cl 2.96-3.09
Pr9 0.4864 0.2364 0.4727  2 Co 2.77, 4 Cl 2.96-3.09
Pr10 0.4864 0.7500 0.0136  2 Co 2.77, 4 Cl 2.96-3.09
Pr11 0.7500 0.0136 0.4864  2 Co 2.77, 4 Cl 2.96-3.09
Pr12 0.7500 0.2364 0.2636  2 Co 2.77, 4 Cl 2.96-3.09
Co1 0.0000 0.2500 0.5000  6 Pr 2.77
Co2 0.2500 0.2500 0.2500  6 Pr 2.77
Co3 0.2500 0.5000 0.0000  6 Pr 2.77
Co4 0.5000 0.0000 0.2500  6 Pr 2.77
Cl1 0.2500 0.7522 0.7478  4 Pr 2.96-3.09
Cl2 0.2500 0.9978 0.5022  4 Pr 2.96-3.09
Cl3 0.5022 0.2500 0.9978  4 Pr 2.96-3.09
Cl4 0.5022 0.7522 0.5044  4 Pr 2.96-3.09
Cl5 0.5044 0.5022 0.7522  4 Pr 2.96-3.09
Cl6 0.7478 0.2500 0.7522  4 Pr 2.96-3.09
Cl7 0.7478 0.9978 0.9956  4 Pr 2.96-3.09
Cl8 0.7522 0.5044 0.5022  4 Pr 2.96-3.09
Cl9 0.7522 0.7478 0.2500  4 Pr 2.96-3.09
Cl10 0.9956 0.7478 0.9978  4 Pr 2.96-3.09
Cl11 0.9978 0.5022 0.2500  4 Pr 2.96-3.09
Cl12 0.9978 0.9956 0.7478  4 Pr 2.96-3.09

---

Entry 6:
Computed, not measured: Pr8Co3PtCl4 after structural relaxation at the PBE level of DFT.

Values from the calculation:
Magnetic moment in μB/cell: 0.000
Mass density in g/cm3: 6.30
Symmetry: C2/m
Crystal system: monoclinic
Energy relative to the elements, uncorrected in eV per atom: -0.946

Lattice parameters (Å, degrees): 8.1295 8.1295 8.9030 117.20 117.20 60.01
Closest atoms and distances in Å follow each position.
Fractional positions:
Pr1 0.2211 0.7412 0.7029  2 Co 2.77, 1 Pt 2.88
Pr2 0.2344 0.2344 0.7027  3 Co 2.80
Pr3 0.2589 0.2589 0.2971  2 Co 2.77, 1 Pt 2.88
Pr4 0.2588 0.7789 0.2971  2 Co 2.77, 1 Pt 2.88
Pr5 0.7412 0.2211 0.7029  2 Co 2.77, 1 Pt 2.88
Pr6 0.7411 0.7411 0.7029  2 Co 2.77, 1 Pt 2.88
Pr7 0.7656 0.7656 0.2973  3 Co 2.80
Pr8 0.7789 0.2588 0.2971  2 Co 2.77, 1 Pt 2.88
Co1 0.0000 0.0000 0.5000  6 Pr 2.77-2.80
Co2 0.0000 0.5000 0.5000  6 Pr 2.77-2.80
Co3 0.5000 0.0000 0.5000  6 Pr 2.77-2.80
Pt1 0.5000 0.5000 0.5000  6 Pr 2.88
Cl1 0.0000 0.0000 0.0000  6 Pr 3.18
Cl2 0.0000 0.5000 0.0000  6 Pr 3.25-3.29
Cl3 0.5000 0.0000 0.0000  6 Pr 3.25-3.29
Cl4 0.5000 0.5000 0.0000  6 Pr 3.25-3.29

---

Entry 7:
Computed, not measured: Pr6CoPt2Cl3 after structural relaxation at the PBE level of DFT.

Values from the calculation:
Magnetic moment in μB/cell: 0.000
Mass density in g/cm3: 6.83
Symmetry: C2/m
Crystal system: monoclinic
Energy relative to the elements, uncorrected in eV per atom: -1.169

Lattice parameters (Å, degrees): 7.2475 7.2475 7.8745 98.55 98.55 120.36
Closest atoms and distances in Å follow each position.
Fractional positions:
Pr1 0.0668 0.3820 0.2041  1 Co 2.75, 2 Pt 2.91
Pr2 0.2499 0.2499 0.7967  1 Co 2.74, 2 Pt 2.92
Pr3 0.3820 0.0668 0.2041  1 Co 2.75, 2 Pt 2.91
Pr4 0.6180 0.9332 0.7959  1 Co 2.75, 2 Pt 2.91
Pr5 0.7501 0.7501 0.2033  1 Co 2.74, 2 Pt 2.92
Pr6 0.9332 0.6180 0.7959  1 Co 2.75, 2 Pt 2.91
Co1 0.0000 0.0000 0.0000  6 Pr 2.74-2.75
Pt1 0.3326 0.6674 0.0000  6 Pr 2.91-2.92
Pt2 0.6674 0.3326 0.0000  6 Pr 2.91-2.92
Cl1 0.1563 0.8437 0.5000  6 Pr 3.17-3.48
Cl2 0.5000 0.5000 0.5000  6 Pr 3.25-3.35
Cl3 0.8437 0.1563 0.5000  6 Pr 3.17-3.48

---

Entry 8:
Computed, not measured: Pr4CoPtCl2 after structural relaxation at the PBE level of DFT.

Values from the calculation:
Magnetic moment in μB/cell: 0.000
Mass density in g/cm3: 6.62
Symmetry: P2/m
Crystal system: monoclinic
Energy relative to the elements, uncorrected in eV per atom: -1.075

Lattice parameters (Å, degrees): 7.2007 4.1108 7.9062 90.00 107.78 90.00
Closest atoms and distances in Å follow each position.
Fractional positions:
Pr1 0.2238 0.0000 0.2024  2 Co 2.79, 1 Pt 2.91
Pr2 0.2475 0.5000 0.7955  1 Co 2.75, 2 Pt 2.89
Pr3 0.7525 0.5000 0.2045  1 Co 2.75, 2 Pt 2.89
Pr4 0.7762 0.0000 0.7976  2 Co 2.79, 1 Pt 2.91
Co1 0.0000 0.5000 0.0000  6 Pr 2.75-2.79
Pt1 0.5000 0.0000 0.0000  6 Pr 2.89-2.91
Cl1 0.0000 0.0000 0.5000  6 Pr 3.21-3.23
Cl2 0.5000 0.5000 0.5000  6 Pr 3.30-3.37

---

Entry 9:
Computed, not measured: Pr4CoRhCl2 after structural relaxation at the PBE level of DFT.

Values from the calculation:
Magnetic moment in μB/cell: 0.000
Mass density in g/cm3: 6.09
Symmetry: P2/m
Crystal system: monoclinic
Energy relative to the elements, uncorrected in eV per atom: -0.991

Lattice parameters (Å, degrees): 7.0437 4.0449 7.9667 90.00 106.94 90.00
Closest atoms and distances in Å follow each position.
Fractional positions:
Pr1 0.2246 0.0000 0.2014  2 Co 2.77, 1 Rh 2.86
Pr2 0.2580 0.5000 0.7943  1 Co 2.78, 2 Rh 2.84
Pr3 0.7420 0.5000 0.2057  1 Co 2.78, 2 Rh 2.84
Pr4 0.7754 0.0000 0.7986  2 Co 2.77, 1 Rh 2.86
Co1 0.0000 0.5000 0.0000  6 Pr 2.77-2.78
Rh1 0.5000 0.0000 0.0000  6 Pr 2.84-2.86
Cl1 0.0000 0.0000 0.5000  6 Pr 3.22-3.23
Cl2 0.5000 0.5000 0.5000  6 Pr 3.28-3.29

---

Entry 10:
Computed, not measured: Pr6CoRh2Cl3 after structural relaxation at the PBE level of DFT.

Values from the calculation:
Magnetic moment in μB/cell: 0.000
Mass density in g/cm3: 6.13
Symmetry: C2/m
Crystal system: monoclinic
Energy relative to the elements, uncorrected in eV per atom: -1.051

Lattice parameters (Å, degrees): 7.0732 7.0732 7.9693 98.46 98.46 120.05
Closest atoms and distances in Å follow each position.
Fractional positions:
Pr1 0.0677 0.3907 0.2035  1 Co 2.76, 2 Rh 2.85
Pr2 0.2559 0.2559 0.7965  1 Co 2.76, 2 Rh 2.85
Pr3 0.3907 0.0677 0.2035  1 Co 2.76, 2 Rh 2.85
Pr4 0.6093 0.9323 0.7965  1 Co 2.76, 2 Rh 2.85
Pr5 0.7441 0.7441 0.2035  1 Co 2.76, 2 Rh 2.85
Pr6 0.9323 0.6093 0.7965  1 Co 2.76, 2 Rh 2.85
Co1 0.0000 0.0000 0.0000  6 Pr 2.76
Rh1 0.3330 0.6670 0.0000  6 Pr 2.85
Rh2 0.6670 0.3330 0.0000  6 Pr 2.85
Cl1 0.1622 0.8378 0.5000  6 Pr 3.21-3.35
Cl2 0.5000 0.5000 0.5000  6 Pr 3.24-3.31
Cl3 0.8378 0.1622 0.5000  6 Pr 3.21-3.35